[1]
GdZnInNi: relaxed, PBE.

## Properties
Energy relative to the lowest polymorph listed for this composition, meV per atom: 0
Total magnetic moment, μB/atom: 0.00
Volume, Å³ per cell: 307.6

Geometry as CIF:
```
data_GdZnInNi
_symmetry_space_group_name_H-M 'C m c 21'
_symmetry_Int_Tables_number 36
_symmetry_space_group_name_Hall 'C 2c -2'
_cell_length_a 4.265
_cell_length_b 9.720
_cell_length_c 7.421
_cell_angle_alpha 90.00
_cell_angle_beta 90.00
_cell_angle_gamma 90.00
loop_
_atom_site_label
_atom_site_type_symbol
_atom_site_fract_x
_atom_site_fract_y
_atom_site_fract_z
_atom_site_occupancy
Gd1 Gd 0.000 0.067 0.000 1
Zn1 Zn 0.000 0.350 0.801 1
In1 In 0.000 0.358 0.193 1
Ni1 Ni 0.000 0.218 0.497 1
```


[2]
Zr3Re2Os2: relaxed, PBE.

## Properties
Total magnetic moment, μB/atom: 0.00
Volume, Å³ per cell: 396.4
DFT formation energy, eV/f.u.: 2.45

Geometry as CIF:
```
data_Zr3Re2Os2
_symmetry_space_group_name_H-M 'R 3 m'
_symmetry_Int_Tables_number 160
_symmetry_space_group_name_Hall 'R 3 -2"'
_cell_length_a 4.5504
_cell_length_b 4.5504
_cell_length_c 22.1047
_cell_angle_alpha 90.00
_cell_angle_beta 90.00
_cell_angle_gamma 120.00
loop_
_atom_site_label
_atom_site_type_symbol
_atom_site_fract_x
_atom_site_fract_y
_atom_site_fract_z
_atom_site_occupancy
Zr1 Zr 0.0000 0.0000 0.0000 1
Zr2 Zr 0.0000 0.0000 0.2469 1
Zr3 Zr 0.0000 0.0000 0.4943 1
Re1 Re 0.0000 0.0000 0.1194 1
Re2 Re 0.0000 0.0000 0.6248 1
Os1 Os 0.0000 0.0000 0.3749 1
Os2 Os 0.0000 0.0000 0.8710 1
```


[3]
KBeNbNi: relaxed, PBE.

## Properties
Energy relative to the lowest polymorph listed for this composition, meV per atom: 65
Total magnetic moment, μB/atom: 0.00
Volume, Å³ per cell: 281.7

Geometry as CIF:
```
data_KBeNbNi
_symmetry_space_group_name_H-M 'F -4 3 m'
_symmetry_Int_Tables_number 216
_symmetry_space_group_name_Hall 'F -4 2 3'
_cell_length_a 6.555
_cell_length_b 6.555
_cell_length_c 6.555
_cell_angle_alpha 90.00
_cell_angle_beta 90.00
_cell_angle_gamma 90.00
loop_
_atom_site_label
_atom_site_type_symbol
_atom_site_fract_x
_atom_site_fract_y
_atom_site_fract_z
_atom_site_occupancy
K1 K 0.000 0.000 0.000 1
Be1 Be 0.250 0.250 0.750 1
Nb1 Nb 0.000 0.000 0.500 1
Ni1 Ni 0.250 0.250 0.250 1
```


[4]
Er2Al2Pd3Au: relaxed, PBE.

## Properties
Raw total energy, eV/f.u.: -42.736
Total magnetic moment, μB/atom: 0.00
Volume, Å³ per cell: 150.4

Geometry as CIF:
```
data_Er2Al2Pd3Au
_symmetry_space_group_name_H-M 'P 3 m 1'
_symmetry_Int_Tables_number 156
_symmetry_space_group_name_Hall 'P 3 -2"'
_cell_length_a 4.3829
_cell_length_b 4.3829
_cell_length_c 9.0403
_cell_angle_alpha 90.00
_cell_angle_beta 90.00
_cell_angle_gamma 120.00
loop_
_atom_site_label
_atom_site_type_symbol
_atom_site_fract_x
_atom_site_fract_y
_atom_site_fract_z
_atom_site_occupancy
Er1 Er 0.0000 0.0000 0.0000 1
Er2 Er 0.3333 0.6667 0.5079 1
Al1 Al 0.6667 0.3333 0.2654 1
Al2 Al 0.6667 0.3333 0.7544 1
Pd1 Pd 0.0000 0.0000 0.3385 1
Pd2 Pd 0.0000 0.0000 0.6746 1
Pd3 Pd 0.3333 0.6667 0.8356 1
Au1 Au 0.3333 0.6667 0.1700 1
```


[5]
LiErTc: relaxed, PBE.

## Properties
Raw total energy, eV/f.u.: -14.615
Total magnetic moment, μB/atom: 0.33
Volume, Å³ per cell: 229.7

Geometry as CIF:
```
data_LiErTc
_symmetry_space_group_name_H-M 'F -4 3 m'
_symmetry_Int_Tables_number 216
_symmetry_space_group_name_Hall 'F -4 2 3'
_cell_length_a 6.124
_cell_length_b 6.124
_cell_length_c 6.124
_cell_angle_alpha 90.00
_cell_angle_beta 90.00
_cell_angle_gamma 90.00
loop_
_atom_site_label
_atom_site_type_symbol
_atom_site_fract_x
_atom_site_fract_y
_atom_site_fract_z
_atom_site_occupancy
Li1 Li 0.000 0.000 0.000 1
Er1 Er 0.250 0.250 0.750 1
Tc1 Tc 0.250 0.250 0.250 1
```


[6]
PrAgPd: relaxed, PBE.

## Properties
Energy relative to the lowest polymorph listed for this composition, meV per atom: 157
Total magnetic moment, μB/atom: 0.00
Volume, Å³ per cell: 303.2
DFT formation energy, eV/f.u.: -1.31

Geometry as CIF:
```
data_PrAgPd
_symmetry_space_group_name_H-M 'F -4 3 m'
_symmetry_Int_Tables_number 216
_symmetry_space_group_name_Hall 'F -4 2 3'
_cell_length_a 6.718
_cell_length_b 6.718
_cell_length_c 6.718
_cell_angle_alpha 90.00
_cell_angle_beta 90.00
_cell_angle_gamma 90.00
loop_
_atom_site_label
_atom_site_type_symbol
_atom_site_fract_x
_atom_site_fract_y
_atom_site_fract_z
_atom_site_occupancy
Pr1 Pr 0.000 0.000 0.000 1
Ag1 Ag 0.000 0.000 0.500 1
Pd1 Pd 0.250 0.250 0.750 1
```